Entry from the Alexandria database: a geometry-optimized Li4CrW3O12 structure (PBE+U).

Calculated values
total DFT energy (no corrections): -0.5066 Ry/atom
ΔE to the lowest computed polymorph: 0.000 eV per atom
mass density: 6.44 g cm⁻³
space group: P1

Cell: 5.172 5.484 7.503 Å, 94.36 90.34 90.04°
Fractional coordinates of all 20 atoms:
Li  0.000  0.000  0.000
Li  0.011  0.108  0.417
Li  0.499  0.460  0.008
Li  0.511  0.471  0.480
Cr  0.507  0.047  0.205
W  0.000  0.552  0.714
W  0.011  0.557  0.214
W  0.503  0.045  0.705
O  0.129  0.548  0.460
O  0.180  0.857  0.769
O  0.197  0.255  0.148
O  0.306  0.738  0.145
O  0.308  0.372  0.766
O  0.391  0.066  0.462
O  0.620  0.062  0.948
O  0.696  0.727  0.642
O  0.709  0.364  0.260
O  0.820  0.250  0.638
O  0.828  0.858  0.256
O  0.879  0.553  0.955